A plane-wave DFT calculation with PBE was carried out for an optimized crystal structure of Ni2W4CN.

Values from the calculation:
Total DFT energy (no corrections): -79.00 eV per cell
Volume: 12.4 A^3/atom

Cell: 2.8575 2.8575 14.0089 Å, 90.00 90.00 120.00°
Space group P-3m1 (No. 164)
Symmetry-distinct sites (fractional):
Ni 0.3333 0.6667 0.2521
W 0.3333 0.6667 0.5965
W 0.3333 0.6667 0.8981
C 0.0000 0.0000 0.5000
N 0.0000 0.0000 0.0000